{
  "formula": "YCu2Re",
  "functional": "PBE-GGA",
  "state": "optimized geometry",
  "lattice": [[4.585, 0.000, 0.000], [2.292, 3.970, 0.000], [2.292, 1.323, 3.743]],
  "species": ["Cu", "Cu", "Y", "Re"],
  "frac_coords": [[0.750, 0.750, 0.750], [0.000, 0.000, 0.000], [0.250, 0.250, 0.250], [0.500, 0.500, 0.500]],
  "e_form_ev_per_atom": 0.595
}



{
  "formula": "Ba2Sr6PdRh",
  "functional": "PBE-GGA",
  "state": "optimized geometry",
  "lattice": [[8.612, -0.005, -0.007], [-0.005, 8.612, -0.007], [-4.312, -4.311, 6.106]],
  "species": ["Pd", "Ba", "Ba", "Sr", "Sr", "Sr", "Sr", "Sr", "Sr", "Rh"],
  "frac_coords": [[0.000, 0.000, 0.000], [0.750, 0.251, 0.500], [0.250, 0.750, 0.500], [0.746, 0.747, 0.000], [0.254, 0.254, 0.999], [0.254, 0.747, 0.000], [0.746, 0.747, 0.492], [0.746, 0.254, 0.000], [0.254, 0.254, 0.508], [0.500, 0.500, 0.999]],
  "e_form_ev_per_atom": -0.213
}



{
  "formula": "LiB3W",
  "functional": "PBE-GGA",
  "state": "optimized geometry",
  "lattice": [[-2.112, -3.617, 0.158], [0.654, -0.202, 4.135], [-3.561, 2.108, 0.666]],
  "species": ["B", "B", "B", "Li", "W"],
  "frac_coords": [[0.000, 0.000, 0.500], [0.500, 0.000, 0.000], [0.000, 0.500, 0.000], [0.500, 0.500, 0.500], [0.000, 0.000, 0.000]],
  "e_form_ev_per_atom": 0.949
}



{
  "formula": "PuSnF",
  "functional": "PBE-GGA",
  "state": "optimized geometry",
  "lattice": [[-3.014, -0.295, 3.090], [0.415, -2.933, 3.153], [3.551, 4.782, 6.950]],
  "species": ["F", "F", "Pu", "Pu", "Sn", "Sn"],
  "frac_coords": [[0.698, 0.698, 0.906], [0.302, 0.302, 0.094], [0.605, 0.605, 0.185], [0.395, 0.395, 0.815], [0.140, 0.140, 0.579], [0.860, 0.860, 0.421]],
  "raw_formation_energy_ev_per_atom": -1.5489
}



{
  "formula": "Ac2GeIrRh",
  "functional": "PBE-GGA",
  "state": "optimized geometry",
  "lattice": [[4.299, 0.000, 0.000], [0.000, 4.299, 0.000], [0.000, 0.000, 14.184]],
  "species": ["Ir", "Ir", "Ac", "Ac", "Ac", "Ac", "Ge", "Ge", "Rh", "Rh"],
  "frac_coords": [[0.000, 0.500, 0.885], [0.500, 0.000, 0.115], [0.000, 0.500, 0.680], [0.500, 0.000, 0.898], [0.500, 0.000, 0.320], [0.000, 0.500, 0.102], [0.500, 0.000, 0.596], [0.000, 0.500, 0.404], [0.000, 0.000, 0.500], [0.500, 0.500, 0.500]],
  "e_form_ev_per_atom": -0.727
}



{
  "formula": "TcOsO6",
  "functional": "PBE-GGA",
  "state": "optimized geometry",
  "lattice": [[5.343, 0.007, 0.007], [2.666, 4.631, 0.010], [2.664, 1.540, 4.369]],
  "species": ["O", "O", "O", "O", "O", "O", "Tc", "Os"],
  "frac_coords": [[0.751, 0.249, 0.751], [0.751, 0.751, 0.249], [0.249, 0.751, 0.249], [0.249, 0.249, 0.751], [0.751, 0.249, 0.249], [0.249, 0.751, 0.751], [0.500, 0.500, 0.500], [0.000, 0.000, 0.000]],
  "raw_formation_energy_ev_per_atom": -1.1415
}